Record 1
# PBEsol Zn2AsRu, relaxed
data_Zn2AsRu
_space_group_name_H-M_alt 'P 1'
_space_group_IT_number 1
_cell_length_a 3.705
_cell_length_b 3.705
_cell_length_c 4.091
_cell_angle_alpha 90.00
_cell_angle_beta 90.00
_cell_angle_gamma 90.00
loop_
_space_group_symop_operation_xyz
'x,y,z'
loop_
_atom_site_label
_atom_site_type_symbol
_atom_site_fract_x
_atom_site_fract_y
_atom_site_fract_z
_atom_site_occupancy
Zn1 Zn 0.000 0.500 0.000 1
Zn2 Zn 0.500 0.000 0.000 1
As1 As 0.500 0.500 0.500 1
Ru1 Ru 0.000 0.000 0.500 1
# Space group: No. 123
# DFT total energy, Ry per atom: -0.3304
# D(E_F), states/eV/f.u.: 2.3
# Formation energy, meV/atom: 116

---

Record 2
# PBEsol Zr2AsRu2, relaxed
data_Zr2AsRu2
_space_group_name_H-M_alt 'P 1'
_space_group_IT_number 1
_cell_length_a 3.442
_cell_length_b 3.442
_cell_length_c 8.043
_cell_angle_alpha 102.36
_cell_angle_beta 102.36
_cell_angle_gamma 90.00
loop_
_space_group_symop_operation_xyz
'x,y,z'
loop_
_atom_site_label
_atom_site_type_symbol
_atom_site_fract_x
_atom_site_fract_y
_atom_site_fract_z
_atom_site_occupancy
Ru1 Ru 0.250 0.750 0.500 1
Ru2 Ru 0.750 0.250 0.500 1
Zr1 Zr 0.398 0.398 0.797 1
Zr2 Zr 0.602 0.602 0.203 1
As1 As 0.000 0.000 0.000 1
# Space group: No. 139
# DFT total energy, Ry per atom: -0.6569
# D(E_F), states/eV/f.u.: 6.9
# Formation energy, meV/atom: -211

---

Record 3
# PBEsol AsS, relaxed
data_AsS
_space_group_name_H-M_alt 'P 1'
_space_group_IT_number 1
_cell_length_a 7.447
_cell_length_b 10.100
_cell_length_c 17.465
_cell_angle_alpha 90.00
_cell_angle_beta 90.00
_cell_angle_gamma 90.00
loop_
_space_group_symop_operation_xyz
'x,y,z'
loop_
_atom_site_label
_atom_site_type_symbol
_atom_site_fract_x
_atom_site_fract_y
_atom_site_fract_z
_atom_site_occupancy
As1 As 0.877 0.118 0.756 1
As2 As 0.373 0.109 0.759 1
As3 As 0.123 0.618 0.756 1
As4 As 0.123 0.882 0.256 1
As5 As 0.618 0.143 0.410 1
As6 As 0.618 0.357 0.910 1
As7 As 0.382 0.857 0.910 1
As8 As 0.623 0.118 0.660 1
As9 As 0.120 0.152 0.378 1
As10 As 0.627 0.891 0.259 1
As11 As 0.620 0.847 0.538 1
As12 As 0.873 0.892 0.158 1
As13 As 0.882 0.355 0.507 1
As14 As 0.627 0.609 0.759 1
As15 As 0.623 0.382 0.160 1
As16 As 0.118 0.855 0.507 1
As17 As 0.127 0.108 0.658 1
As18 As 0.877 0.382 0.256 1
As19 As 0.880 0.848 0.878 1
As20 As 0.377 0.618 0.660 1
As21 As 0.620 0.653 0.038 1
As22 As 0.382 0.643 0.410 1
As23 As 0.120 0.348 0.878 1
As24 As 0.873 0.608 0.658 1
As25 As 0.380 0.347 0.538 1
As26 As 0.880 0.652 0.378 1
As27 As 0.380 0.153 0.038 1
As28 As 0.127 0.392 0.158 1
As29 As 0.882 0.145 0.007 1
As30 As 0.373 0.391 0.259 1
As31 As 0.377 0.882 0.160 1
As32 As 0.118 0.645 0.007 1
S1 S 0.117 0.131 0.912 1
S2 S 0.366 0.866 0.415 1
S3 S 0.383 0.129 0.505 1
S4 S 0.133 0.325 0.624 1
S5 S 0.866 0.132 0.501 1
S6 S 0.867 0.825 0.624 1
S7 S 0.618 0.164 0.129 1
S8 S 0.133 0.175 0.124 1
S9 S 0.617 0.629 0.505 1
S10 S 0.367 0.326 0.792 1
S11 S 0.633 0.826 0.792 1
S12 S 0.134 0.868 0.001 1
S13 S 0.118 0.837 0.787 1
S14 S 0.617 0.871 0.005 1
S15 S 0.634 0.366 0.415 1
S16 S 0.618 0.336 0.629 1
S17 S 0.866 0.368 0.001 1
S18 S 0.118 0.663 0.287 1
S19 S 0.883 0.631 0.912 1
S20 S 0.634 0.134 0.915 1
S21 S 0.882 0.337 0.787 1
S22 S 0.366 0.634 0.915 1
S23 S 0.382 0.664 0.129 1
S24 S 0.117 0.369 0.412 1
S25 S 0.367 0.174 0.292 1
S26 S 0.883 0.869 0.412 1
S27 S 0.134 0.632 0.501 1
S28 S 0.882 0.163 0.287 1
S29 S 0.383 0.371 0.005 1
S30 S 0.633 0.674 0.292 1
S31 S 0.867 0.675 0.124 1
S32 S 0.382 0.836 0.629 1
# Distance to the lowest polymorph of the same formula, eV/atom: 0.005
# Space group: No. 29
# DFT total energy, Ry per atom: -0.3565
# Raw formation energy, eV per atom: -0.11
# D(E_F), states/eV/f.u.: 0.0

---

Record 4
# PBEsol AsS, relaxed
data_AsS
_space_group_name_H-M_alt 'P 1'
_space_group_IT_number 1
_cell_length_a 6.605
_cell_length_b 6.605
_cell_length_c 9.150
_cell_angle_alpha 79.40
_cell_angle_beta 79.40
_cell_angle_gamma 81.31
loop_
_space_group_symop_operation_xyz
'x,y,z'
loop_
_atom_site_label
_atom_site_type_symbol
_atom_site_fract_x
_atom_site_fract_y
_atom_site_fract_z
_atom_site_occupancy
S1 S 0.586 0.414 0.750 1
S2 S 0.042 0.958 0.750 1
S3 S 0.875 0.505 0.355 1
S4 S 0.125 0.495 0.645 1
S5 S 0.505 0.875 0.855 1
S6 S 0.414 0.586 0.250 1
S7 S 0.958 0.042 0.250 1
S8 S 0.495 0.125 0.145 1
As1 As 0.187 0.776 0.946 1
As2 As 0.410 0.252 0.363 1
As3 As 0.748 0.590 0.137 1
As4 As 0.590 0.748 0.637 1
As5 As 0.776 0.187 0.446 1
As6 As 0.224 0.813 0.554 1
As7 As 0.813 0.224 0.054 1
As8 As 0.252 0.410 0.863 1
# Distance to the lowest polymorph of the same formula, eV/atom: 0.009
# Space group: No. 15
# DFT total energy, Ry per atom: -0.3562
# Raw formation energy, eV per atom: -0.10

---

Record 5
# PBEsol AsS, relaxed
data_AsS
_space_group_name_H-M_alt 'P 1'
_space_group_IT_number 1
_cell_length_a 13.529
_cell_length_b 6.530
_cell_length_c 9.462
_cell_angle_alpha 66.35
_cell_angle_beta 90.00
_cell_angle_gamma 90.00
loop_
_space_group_symop_operation_xyz
'x,y,z'
loop_
_atom_site_label
_atom_site_type_symbol
_atom_site_fract_x
_atom_site_fract_y
_atom_site_fract_z
_atom_site_occupancy
S1 S 0.993 0.634 0.652 1
S2 S 0.523 0.083 0.290 1
S3 S 0.728 0.403 0.745 1
S4 S 0.213 0.043 0.899 1
S5 S 0.477 0.917 0.710 1
S6 S 0.787 0.957 0.101 1
S7 S 0.228 0.597 0.755 1
S8 S 0.007 0.366 0.348 1
S9 S 0.977 0.083 0.790 1
S10 S 0.713 0.957 0.601 1
S11 S 0.287 0.043 0.399 1
S12 S 0.493 0.366 0.848 1
S13 S 0.272 0.597 0.255 1
S14 S 0.507 0.634 0.152 1
S15 S 0.023 0.917 0.210 1
S16 S 0.772 0.403 0.245 1
As1 As 0.664 0.678 0.534 1
As2 As 0.480 0.652 0.613 1
As3 As 0.362 0.556 0.065 1
As4 As 0.872 0.873 0.323 1
As5 As 0.372 0.127 0.177 1
As6 As 0.520 0.348 0.387 1
As7 As 0.628 0.873 0.823 1
As8 As 0.164 0.322 0.966 1
As9 As 0.138 0.556 0.565 1
As10 As 0.336 0.322 0.466 1
As11 As 0.020 0.652 0.113 1
As12 As 0.128 0.127 0.677 1
As13 As 0.638 0.444 0.935 1
As14 As 0.980 0.348 0.887 1
As15 As 0.836 0.678 0.034 1
As16 As 0.862 0.444 0.435 1
# Distance to the lowest polymorph of the same formula, eV/atom: 0.000
# Space group: No. 14
# DFT total energy, Ry per atom: -0.3569
# Raw formation energy, eV per atom: -0.11

---

Record 6
# PBEsol As8S9, relaxed
data_As8S9
_space_group_name_H-M_alt 'P 1'
_space_group_IT_number 1
_cell_length_a 9.044
_cell_length_b 9.544
_cell_length_c 9.705
_cell_angle_alpha 90.00
_cell_angle_beta 102.82
_cell_angle_gamma 90.00
loop_
_space_group_symop_operation_xyz
'x,y,z'
loop_
_atom_site_label
_atom_site_type_symbol
_atom_site_fract_x
_atom_site_fract_y
_atom_site_fract_z
_atom_site_occupancy
As1 As 0.058 0.676 0.558 1
As2 As 0.558 0.324 0.558 1
As3 As 0.050 0.233 0.972 1
As4 As 0.355 0.428 0.175 1
As5 As 0.145 0.428 0.825 1
As6 As 0.180 0.978 0.370 1
As7 As 0.820 0.022 0.630 1
As8 As 0.950 0.767 0.028 1
As9 As 0.855 0.572 0.175 1
As10 As 0.645 0.572 0.825 1
As11 As 0.320 0.978 0.630 1
As12 As 0.550 0.767 0.972 1
As13 As 0.942 0.324 0.442 1
As14 As 0.450 0.233 0.028 1
As15 As 0.442 0.676 0.442 1
As16 As 0.680 0.022 0.370 1
S1 S 0.250 0.553 0.500 1
S2 S 0.829 0.166 0.277 1
S3 S 0.750 0.914 0.000 1
S4 S 0.329 0.834 0.277 1
S5 S 0.130 0.332 0.186 1
S6 S 0.981 0.836 0.383 1
S7 S 0.671 0.166 0.723 1
S8 S 0.019 0.164 0.617 1
S9 S 0.481 0.164 0.383 1
S10 S 0.870 0.668 0.814 1
S11 S 0.370 0.332 0.814 1
S12 S 0.250 0.086 0.000 1
S13 S 0.171 0.834 0.723 1
S14 S 0.519 0.836 0.617 1
S15 S 0.250 0.577 0.000 1
S16 S 0.750 0.447 0.500 1
S17 S 0.750 0.423 0.000 1
S18 S 0.630 0.668 0.186 1
# Space group: No. 13
# DFT total energy, Ry per atom: -0.3550
# Raw formation energy, eV per atom: -0.11

---

Record 7
# PBEsol Sb2AsS2, relaxed
data_Sb2AsS2
_space_group_name_H-M_alt 'P 1'
_space_group_IT_number 1
_cell_length_a 3.958
_cell_length_b 5.666
_cell_length_c 11.232
_cell_angle_alpha 85.12
_cell_angle_beta 79.85
_cell_angle_gamma 69.56
loop_
_space_group_symop_operation_xyz
'x,y,z'
loop_
_atom_site_label
_atom_site_type_symbol
_atom_site_fract_x
_atom_site_fract_y
_atom_site_fract_z
_atom_site_occupancy
Sb1 Sb 0.273 0.782 0.673 1
Sb2 Sb 0.084 0.730 0.102 1
Sb3 Sb 0.916 0.270 0.898 1
Sb4 Sb 0.727 0.218 0.327 1
S1 S 0.526 0.680 0.267 1
S2 S 0.326 0.269 0.080 1
S3 S 0.474 0.320 0.733 1
S4 S 0.674 0.731 0.920 1
As1 As 0.881 0.729 0.508 1
As2 As 0.119 0.271 0.492 1
# Space group: No. 12
# DFT total energy, Ry per atom: -0.3517
# Raw formation energy, eV per atom: -0.19
# D(E_F), states/eV/f.u.: 0.1

---

Record 8
# PBEsol Sb3AsS6, relaxed
data_Sb3AsS6
_space_group_name_H-M_alt 'P 1'
_space_group_IT_number 1
_cell_length_a 3.754
_cell_length_b 10.669
_cell_length_c 11.386
_cell_angle_alpha 90.00
_cell_angle_beta 90.00
_cell_angle_gamma 90.00
loop_
_space_group_symop_operation_xyz
'x,y,z'
loop_
_atom_site_label
_atom_site_type_symbol
_atom_site_fract_x
_atom_site_fract_y
_atom_site_fract_z
_atom_site_occupancy
S1 S 0.500 0.891 0.955 1
S2 S 0.500 0.439 0.288 1
S3 S 0.000 0.050 0.711 1
S4 S 0.500 0.188 0.121 1
S5 S 0.500 0.109 0.455 1
S6 S 0.000 0.704 0.370 1
S7 S 0.000 0.296 0.870 1
S8 S 0.000 0.374 0.545 1
S9 S 0.500 0.561 0.788 1
S10 S 0.000 0.950 0.211 1
S11 S 0.500 0.812 0.621 1
S12 S 0.000 0.626 0.045 1
Sb1 Sb 0.500 0.416 0.970 1
Sb2 Sb 0.000 0.275 0.346 1
Sb3 Sb 0.000 0.725 0.846 1
Sb4 Sb 0.500 0.217 0.650 1
Sb5 Sb 0.500 0.783 0.150 1
Sb6 Sb 0.500 0.584 0.470 1
As1 As 0.000 0.930 0.542 1
As2 As 0.000 0.070 0.042 1
# Space group: No. 26
# DFT total energy, Ry per atom: -0.3493
# Raw formation energy, eV per atom: -0.24

---

Record 9
# PBEsol Tl5Sb10As3S22, relaxed
data_Tl5Sb10As3S22
_space_group_name_H-M_alt 'P 1'
_space_group_IT_number 1
_cell_length_a 7.350
_cell_length_b 8.582
_cell_length_c 17.317
_cell_angle_alpha 103.65
_cell_angle_beta 91.91
_cell_angle_gamma 109.97
loop_
_space_group_symop_operation_xyz
'x,y,z'
loop_
_atom_site_label
_atom_site_type_symbol
_atom_site_fract_x
_atom_site_fract_y
_atom_site_fract_z
_atom_site_occupancy
Sb1 Sb 0.289 0.064 0.015 1
Sb2 Sb 0.864 0.217 0.405 1
Sb3 Sb 0.300 0.770 0.809 1
Sb4 Sb 0.740 0.822 0.210 1
Sb5 Sb 0.596 0.202 0.593 1
Sb6 Sb 0.863 0.678 0.401 1
Sb7 Sb 0.149 0.795 0.602 1
Sb8 Sb 0.705 0.232 0.191 1
Sb9 Sb 0.261 0.185 0.798 1
Sb10 Sb 0.399 0.792 0.410 1
S1 S 0.475 0.385 0.087 1
S2 S 0.453 0.425 0.676 1
S3 S 0.069 0.262 0.911 1
S4 S 0.032 0.885 0.789 1
S5 S 0.721 0.962 0.489 1
S6 S 0.541 0.573 0.324 1
S7 S 0.497 0.085 0.907 1
S8 S 0.095 0.685 0.918 1
S9 S 0.471 0.940 0.092 1
S10 S 0.713 0.397 0.493 1
S11 S 0.457 0.969 0.692 1
S12 S 0.013 0.870 0.313 1
S13 S 0.961 0.102 0.197 1
S14 S 0.288 0.606 0.508 1
S15 S 0.274 0.036 0.513 1
S16 S 0.566 0.040 0.310 1
S17 S 0.044 0.542 0.680 1
S18 S 0.907 0.725 0.088 1
S19 S 0.502 0.573 0.896 1
S20 S 0.977 0.453 0.322 1
S21 S 0.917 0.325 0.085 1
S22 S 0.994 0.139 0.685 1
Tl1 Tl 0.217 0.665 0.184 1
Tl2 Tl 0.678 0.746 0.619 1
Tl3 Tl 0.328 0.256 0.383 1
Tl4 Tl 0.790 0.932 0.978 1
Tl5 Tl 0.788 0.356 0.812 1
As1 As 0.146 0.326 0.613 1
As2 As 0.269 0.544 0.974 1
As3 As 0.743 0.444 0.020 1
# Space group: No. 1
# DFT total energy, Ry per atom: -0.3339
# Raw formation energy, eV per atom: -0.28

---

Record 10
# PBEsol ScAsS2, relaxed
data_ScAsS2
_space_group_name_H-M_alt 'P 1'
_space_group_IT_number 1
_cell_length_a 4.807
_cell_length_b 4.807
_cell_length_c 8.233
_cell_angle_alpha 106.97
_cell_angle_beta 106.97
_cell_angle_gamma 90.00
loop_
_space_group_symop_operation_xyz
'x,y,z'
loop_
_atom_site_label
_atom_site_type_symbol
_atom_site_fract_x
_atom_site_fract_y
_atom_site_fract_z
_atom_site_occupancy
As1 As 0.000 0.000 0.000 1
As2 As 0.250 0.750 0.500 1
S1 S 0.625 0.619 0.750 1
S2 S 0.869 0.375 0.250 1
S3 S 0.125 0.131 0.750 1
S4 S 0.381 0.875 0.250 1
Sc1 Sc 0.750 0.250 0.500 1
Sc2 Sc 0.500 0.500 0.000 1
# Space group: No. 122
# DFT total energy, Ry per atom: -0.4176
# Raw formation energy, eV per atom: -0.56
# D(E_F), states/eV/f.u.: 2.0

---

Record 11
# PBEsol Sc2AsS, relaxed
data_Sc2AsS
_space_group_name_H-M_alt 'P 1'
_space_group_IT_number 1
_cell_length_a 4.640
_cell_length_b 4.640
_cell_length_c 4.640
_cell_angle_alpha 60.00
_cell_angle_beta 60.00
_cell_angle_gamma 60.00
loop_
_space_group_symop_operation_xyz
'x,y,z'
loop_
_atom_site_label
_atom_site_type_symbol
_atom_site_fract_x
_atom_site_fract_y
_atom_site_fract_z
_atom_site_occupancy
Sc1 Sc 0.750 0.750 0.750 1
Sc2 Sc 0.250 0.250 0.250 1
S1 S 0.000 0.000 0.000 1
As1 As 0.500 0.500 0.500 1
# Space group: No. 225
# DFT total energy, Ry per atom: -0.5087
# Raw formation energy, eV per atom: -1.25
# D(E_F), states/eV/f.u.: 3.4

---

Record 12
# PBEsol AsSe2S, relaxed
data_AsSe2S
_space_group_name_H-M_alt 'P 1'
_space_group_IT_number 1
_cell_length_a 3.384
_cell_length_b 3.384
_cell_length_c 8.742
_cell_angle_alpha 78.84
_cell_angle_beta 78.84
_cell_angle_gamma 60.00
loop_
_space_group_symop_operation_xyz
'x,y,z'
loop_
_atom_site_label
_atom_site_type_symbol
_atom_site_fract_x
_atom_site_fract_y
_atom_site_fract_z
_atom_site_occupancy
Se1 Se 0.099 0.099 0.702 1
Se2 Se 0.901 0.901 0.298 1
S1 S 0.500 0.500 0.500 1
As1 As 0.000 0.000 0.000 1
# Space group: No. 166
# DFT total energy, Ry per atom: -0.2808
# Raw formation energy, eV per atom: 0.48
# D(E_F), states/eV/f.u.: 2.4

---

Number 1: calculated density 9.1 g/cm3. Number 2: calculated density 8.4 g/cm3. Number 3: calculated density 4.3 g/cm3. Number 4: calculated density 3.7 g/cm3. Number 5: calculated density 3.7 g/cm3. Number 6: calculated density 3.6 g/cm3. Number 7: calculated density 5.5 g/cm3. Number 8: calculated density 4.6 g/cm3. Number 9: calculated density 5.3 g/cm3. Number 10: calculated density 3.5 g/cm3. Number 11: calculated density 4.6 g/cm3. Number 12: calculated density 5.2 g/cm3.